Density functional theory data (GGA-PBE) for LaPt2Au after structural relaxation.

## Properties
formation energy: -46 meV per atom
total DFT energy (no corrections): -5.118 eV/atom

Cell: 3.0233 3.0233 29.4428 Å, 90.00 90.00 120.00°
Space group R-3m (No. 166, hexagonal axes)
Asymmetric unit:
La (0.0000, 0.0000, 0.0000) x3
Pt (0.0000, 0.0000, 0.2459) x6
Au (0.0000, 0.0000, 0.5000) x3


Density functional theory data (GGA-PBE) for La5Pt2Au after structural relaxation.

## Properties
formation energy: -816 meV per atom
total DFT energy (no corrections): -5.815 eV/atom

Cell: 8.164 8.164 13.714 Å, 90.00 90.00 90.00°
Space group I4/mcm (No. 140)
Asymmetric unit:
La (0.000, 0.000, 0.000) x4
La (0.162, 0.338, 0.141) x16
Pt (0.134, 0.366, 0.500) x8
Au (0.000, 0.000, 0.250) x4


Density functional theory data (GGA-PBE) for LaPt3Au after structural relaxation.

## Properties
formation energy: 1075 meV per atom
E above lowest polymorph: 4.58 eV/f.u.
total DFT energy (no corrections): -4.191 eV/atom

Cell: 5.189 5.189 5.189 Å, 90.00 90.00 90.00°
Space group Pm-3m (No. 221)
Asymmetric unit:
La (0.000, 0.000, 0.000) x1
Pt (0.000, 0.000, 0.500) x3
Au (0.500, 0.500, 0.500) x1


Density functional theory data (GGA-PBE) for La3Pt2Au4 after structural relaxation.

## Properties
formation energy: -904 meV per atom
total DFT energy (no corrections): -5.346 eV/atom

Cell: 11.927 4.314 9.520 Å, 90.00 117.84 90.00°
Space group C2/m (No. 12)
Asymmetric unit:
La (0.000, 0.000, 0.000) x2
La (0.182, 0.500, 0.631) x4
Pt (0.113, 0.500, 0.267) x4
Au (0.012, 0.000, 0.357) x4
Au (0.236, 0.500, 0.083) x4


Density functional theory data (GGA-PBE) for LaPt3Au9 after structural relaxation.

## Properties
formation energy: -265 meV per atom
total DFT energy (no corrections): -4.307 eV/atom

Cell: 5.712 13.191 7.182 Å, 90.00 112.10 90.00°
Space group C2/m (No. 12)
Asymmetric unit:
La (0.000, 0.000, 0.000) x2
Pt (0.000, 0.000, 0.500) x2
Pt (0.250, 0.250, 0.000) x4
Au (0.000, 0.500, 0.500) x2
Au (0.109, 0.391, 0.215) x8
Au (0.155, 0.172, 0.337) x8


Density functional theory data (GGA-PBE) for La2Pt2Au after structural relaxation.

## Properties
formation energy: -859 meV per atom
E above lowest polymorph: 1.08 eV/f.u.
total DFT energy (no corrections): -5.902 eV/atom

Cell: 8.235 8.235 3.782 Å, 90.00 90.00 90.00°
Space group P4/mbm (No. 127)
Asymmetric unit:
La (0.168, 0.332, 0.000) x4
Pt (0.127, 0.627, 0.500) x4
Au (0.000, 0.000, 0.000) x2


Question: The lowest formation energy belongs to which entry?
Answer: La3Pt2Au4